(1)
DFT (PBE) results for an optimized crystal structure of TlZn2Br.

Cell: 7.4082 7.4082 7.4082 Å, 124.82 124.82 81.84°
With the nearest neighbours (Å) after each atom.
Atoms (fractional coordinates):
Tl  0.0000  0.0000  0.0000  4 Zn 2.78
Tl  0.7500  0.2500  0.5000  4 Zn 2.78
Zn  0.1197  0.6250  0.9947  2 Tl 2.78, 2 Br 2.82
Zn  0.3750  0.3697  0.4947  2 Tl 2.78, 2 Br 2.82
Zn  0.6303  0.1250  0.0053  2 Tl 2.78, 2 Br 2.82
Zn  0.8750  0.8803  0.5053  2 Tl 2.78, 2 Br 2.82
Br  0.2500  0.7500  0.5000  4 Zn 2.82
Br  0.5000  0.5000  0.0000  4 Zn 2.82

* distance to the lowest polymorph of the same formula: 0.1739 eV/atom
* total magnetization: 0.000 μB per cell
* SG: I-42d, No. 122

(2)
DFT (PBE) results for an optimized crystal structure of TaTl4I2.

Cell: 9.8907 9.8907 9.8907 Å, 147.37 147.37 46.82°
With the nearest neighbours (Å) after each atom.
Atoms (fractional coordinates):
Ta  0.0000  0.0000  0.0000  6 Tl 2.78-2.79
Tl  0.0000  0.5000  0.5000  2 Ta 2.78
Tl  0.1538  0.1538  0.0000  1 Ta 2.79, 1 I 2.90
Tl  0.5000  0.0000  0.5000  2 Ta 2.78
Tl  0.8462  0.8462  0.0000  1 Ta 2.79, 1 I 2.90
I  0.3133  0.3133  0.0000  1 Tl 2.90
I  0.6867  0.6867  0.0000  1 Tl 2.90

* total magnetization: 1.259 μB per cell
* SG: I4/mmm, No. 139
* total energy: -22.57 eV per cell

(3)
DFT (PBE) results for an optimized crystal structure of TaCo3H4.

Cell: 4.6601 4.6601 4.6601 Å, 130.91 130.91 71.96°
With the nearest neighbours (Å) after each atom.
Atoms (fractional coordinates):
Ta  0.0000  0.0000  0.0000  6 H 1.94-2.06
Co  0.2500  0.7500  0.5000  6 H 1.89-1.94
Co  0.5000  0.5000  0.0000  2 H 1.71
Co  0.7500  0.2500  0.5000  6 H 1.89-1.94
H  0.0000  0.5000  0.5000  4 Co 1.89-1.94, 2 Ta 1.94
H  0.2738  0.2738  0.0000  1 Co 1.71
H  0.5000  0.0000  0.5000  4 Co 1.89-1.94, 2 Ta 1.94
H  0.7262  0.7262  0.0000  1 Co 1.71

* total magnetization: 0.001 μB per cell
* SG: I4/mmm, No. 139
* total energy: -47.04 eV per cell